P:
Here is a relaxed structure of SrCrIn3 from Alexandria. Energies are from PBE.

Properties
Calculated volume: 209.6 Å³/f.u.
D(E_F): 2.02 states/eV/atom

a b c (Å): 5.9403 5.9403 5.9403
angles (deg): 90.00 90.00 90.00
Space group Pm-3m (No. 221)
Symmetry-distinct sites (fractional):
Sr  0.0000  0.0000  0.0000 x1
Cr  0.5000  0.5000  0.5000 x1
In  0.0000  0.0000  0.5000 x3

---

Q:
Here is a relaxed structure of SrCrIn3 from Alexandria. Energies are from PBE.

Properties
Calculated volume: 136.9 Å³/f.u.
D(E_F): 0.25 states/eV/atom

a b c (Å): 5.1533 5.1533 5.1533
angles (deg): 90.00 90.00 90.00
Space group Pm-3m (No. 221)
Symmetry-distinct sites (fractional):
Sr  0.0000  0.0000  0.0000 x1
Cr  0.5000  0.5000  0.5000 x1
In  0.0000  0.5000  0.5000 x3

---

Most stable structure: Q

---

P:
Here is a relaxed structure of SrCr3In from Alexandria. Energies are from PBE.

Properties
Calculated volume: 146.4 Å³/f.u.
D(E_F): 0.71 states/eV/atom

a b c (Å): 5.2706 5.2706 5.2706
angles (deg): 90.00 90.00 90.00
Space group Pm-3m (No. 221)
Symmetry-distinct sites (fractional):
Sr  0.0000  0.0000  0.0000 x1
Cr  0.0000  0.5000  0.5000 x3
In  0.5000  0.5000  0.5000 x1

---

Q:
Here is a relaxed structure of SrCr3In from Alexandria. Energies are from PBE.

Properties
Calculated volume: 192.2 Å³/f.u.
D(E_F): 0.64 states/eV/atom

a b c (Å): 5.7707 5.7707 5.7707
angles (deg): 90.00 90.00 90.00
Space group Pm-3m (No. 221)
Symmetry-distinct sites (fractional):
Sr  0.0000  0.0000  0.0000 x1
Cr  0.0000  0.0000  0.5000 x3
In  0.5000  0.5000  0.5000 x1

---

Most stable structure: P